First-principles (PBE) data for LiMgCl3 after structural relaxation, as listed in the Alexandria database.

a = 6.3356 Å, b = 6.3356 Å, c = 6.2692 Å
α = 90.00°, β = 90.00°, γ = 120.00°
Fractional positions:
Li 0.0000 0.0000 0.0000
Li 0.0000 0.0000 0.5000
Mg 0.6667 0.3333 0.0000
Mg 0.6667 0.3333 0.5000
Cl 0.3442 0.0332 0.2500
Cl 0.3442 0.3110 0.7500
Cl 0.6890 0.0332 0.7500
Cl 0.6890 0.6558 0.2500
Cl 0.9668 0.3110 0.2500
Cl 0.9668 0.6558 0.7500

- E_form (uncorrected) (meV per atom) = -1782.9
- size of the total moment (μB/atom) = 0.000
- crystal system = hexagonal
- energy above the lowest structure with this stoichiometry (eV/atom) = 0.033